# 1
A plane-wave DFT calculation with PBE was carried out for a relaxed structure of AcLa8Dy2.

The structure in POSCAR format:
```
AcLa8Dy2
1.0
-2.8529 4.3424 8.2343
2.8529 -4.3424 8.2343
2.8529 4.3424 -8.2343
Ac La Dy
1 8 2
Cartesian
0.0000 0.0000 0.0000
2.8529 -1.7303 5.8487
2.8529 0.0000 2.6049
2.8529 2.5818 0.0000
0.0000 2.6121 2.3856
2.8529 1.7303 5.8487
0.0000 1.7606 8.2343
0.0000 4.3424 5.6294
0.0000 6.0727 2.3856
0.0000 0.0000 4.9091
0.0000 0.0000 11.5595
```

Calculated values
Uncorrected energy, eV per atom: -4.69
Space-group type: Immm (71)
Formation energy, kJ/mol of formula units: 110
V, Å³/cell: 408.0


# 2
A plane-wave DFT calculation with PBE was carried out for a relaxed structure of AcLaDy.

The structure in POSCAR format:
```
AcLaDy
1.0
5.9032 0.0000 0.0000
-2.9516 5.1123 0.0000
0.0000 0.0000 3.7118
Ac La Dy
1 1 1
Cartesian
0.0000 0.0000 0.0000
0.0000 3.4082 1.8559
2.9516 1.7041 1.8559
```

Calculated values
Distance to the lowest polymorph of the same formula, kJ/mol of formula units: 5
Uncorrected energy, eV per atom: -4.49
Space-group type: P-6m2 (187)
Formation energy, kJ/mol of formula units: 17
V, Å³/cell: 112.1


# 3
A plane-wave DFT calculation with PBE was carried out for a relaxed structure of AcLa3Dy6.

The structure in POSCAR format:
```
AcLa3Dy6
1.0
5.0106 2.8929 4.0043
-5.0106 2.8929 4.0043
0.0000 -5.7858 4.0043
Ac La Dy
1 3 6
Cartesian
0.0000 0.0000 0.0000
0.0000 0.0000 3.2031
0.0000 0.0000 5.9981
0.0000 0.0000 8.7889
-3.2850 -0.0038 6.0001
-1.6541 -2.8946 7.9953
1.6458 -2.8429 6.0001
-1.6797 2.8797 7.9953
1.6392 2.8468 6.0001
3.3338 0.0148 7.9953
```

Calculated values
Uncorrected energy, eV per atom: -4.32
Space-group type: R3 (146)
Formation energy, kJ/mol of formula units: 316
V, Å³/cell: 348.3


# 4
A plane-wave DFT calculation with PBE was carried out for a relaxed structure of Ac6La5Dy2.

The structure in POSCAR format:
```
Ac6La5Dy2
1.0
11.4919 0.0000 0.0000
0.0000 24.1964 0.0000
0.0000 0.0000 3.7816
Ac La Dy
12 10 4
Cartesian
0.2388 2.7341 0.0000
1.6652 9.2845 0.0000
1.9005 15.3766 1.8908
3.8454 3.2784 1.8908
4.0807 21.3827 0.0000
5.5072 14.8323 0.0000
5.9847 9.3641 0.0000
7.4112 2.8137 0.0000
7.6465 20.9180 1.8908
9.5914 8.8198 1.8908
9.8267 14.9119 0.0000
11.2532 21.4623 0.0000
0.0000 12.0982 1.8908
0.9712 6.0023 1.8908
1.9021 24.1117 1.8908
3.8438 12.0135 1.8908
4.7747 18.1005 1.8908
5.7460 0.0000 1.8908
6.7172 6.0959 1.8908
7.6481 12.1829 1.8908
9.5898 0.0847 1.8908
10.5207 18.1941 1.8908
1.9027 18.5685 0.0000
3.8432 6.4703 0.0000
7.6487 17.7261 0.0000
9.5892 5.6279 0.0000
```

Calculated values
Uncorrected energy, eV per atom: -4.38
Space-group type: Pbam (55)
Formation energy, kJ/mol of formula units: 154
V, Å³/cell: 1051.5


# 5
A plane-wave DFT calculation with PBE was carried out for a relaxed structure of AcLa6Dy4.

The structure in POSCAR format:
```
AcLa6Dy4
1.0
-3.3523 3.3523 8.8028
3.3523 -3.3523 8.8028
3.3523 3.3523 -8.8028
Ac La Dy
1 6 4
Cartesian
0.0000 0.0000 0.0000
3.3523 0.0000 0.0000
2.1808 2.1808 -2.3123
1.1715 -1.1715 11.1151
0.0000 3.3523 0.0000
1.1715 1.1715 6.4906
-1.1715 1.1715 11.1151
2.1096 -2.1096 5.6129
1.2427 1.2427 3.1900
-2.1096 2.1096 5.6129
2.1096 2.1096 11.9928
```

Calculated values
Uncorrected energy, eV per atom: -4.44
Space-group type: I-42m (121)
Formation energy, kJ/mol of formula units: 308
V, Å³/cell: 395.7


# 6
A plane-wave DFT calculation with PBE was carried out for a relaxed structure of AcLa7Dy3.

The structure in POSCAR format:
```
AcLa7Dy3
1.0
7.3979 0.0000 0.0000
-3.6990 6.4068 0.0000
0.0000 0.0000 8.6656
Ac La Dy
1 7 3
Cartesian
0.0000 0.0000 0.0000
0.0000 4.2712 2.6099
1.8928 1.0928 2.9181
3.6990 0.0294 8.3746
1.8750 3.1887 8.3746
5.5051 1.0928 2.9181
3.6990 4.2212 2.9181
5.5230 3.1887 8.3746
0.0000 2.1515 5.6210
-1.8357 5.3310 5.6210
1.8357 5.3310 5.6210
```

Calculated values
Distance to the lowest polymorph of the same formula, kJ/mol of formula units: 0
Uncorrected energy, eV per atom: -4.58
Space-group type: P3m1 (156)
Formation energy, kJ/mol of formula units: 192
V, Å³/cell: 410.7


# 7
A plane-wave DFT calculation with PBE was carried out for a relaxed structure of Ac2La15Dy2.

The structure in POSCAR format:
```
Ac2La15Dy2
1.0
5.8634 3.3852 6.0304
-5.8634 3.3852 6.0304
0.0000 -6.7705 6.0304
Ac La Dy
2 15 2
Cartesian
0.0000 0.0000 3.0998
0.0000 0.0000 14.9913
-2.9317 -1.6926 6.0304
0.0000 -3.4906 5.5665
-3.0229 1.7453 5.5665
-1.7162 -2.9725 9.0456
-3.4324 0.0000 9.0456
-3.0229 -1.7453 12.5246
-2.9317 1.6926 12.0607
1.7162 -2.9725 9.0455
0.0000 3.3852 6.0304
-1.7162 2.9725 9.0455
3.0229 1.7453 5.5665
3.4324 0.0000 9.0455
1.7162 2.9725 9.0455
3.0229 -1.7453 12.5246
0.0000 3.4906 12.5246
0.0000 0.0000 7.3435
0.0000 0.0000 10.7476
```

Calculated values
Uncorrected energy, eV per atom: -4.63
Space-group type: R-3m (166)
Formation energy, kJ/mol of formula units: 319
V, Å³/cell: 718.2


# 8
A plane-wave DFT calculation with PBE was carried out for a relaxed structure of AcLa9Dy2.

The structure in POSCAR format:
```
AcLa9Dy2
1.0
5.2549 0.0000 0.0000
0.0000 5.2549 0.0000
0.0000 0.0000 15.8089
Ac La Dy
1 9 2
Cartesian
0.0000 0.0000 0.0000
0.0000 2.6275 2.7374
0.0000 2.6275 7.9045
0.0000 2.6275 13.0715
2.6275 0.0000 2.7374
2.6275 0.0000 7.9045
2.6275 0.0000 13.0715
2.6275 2.6275 0.0000
2.6275 2.6275 5.3340
2.6275 2.6275 10.4749
0.0000 0.0000 5.3219
0.0000 0.0000 10.4871
```

Calculated values
Uncorrected energy, eV per atom: -4.79
Space-group type: P4/mmm (123)
Formation energy, kJ/mol of formula units: 18
V, Å³/cell: 436.6


# 9
A plane-wave DFT calculation with PBE was carried out for a relaxed structure of Ac7LaDy2.

The structure in POSCAR format:
```
Ac7LaDy2
1.0
5.0922 -8.2291 0.0000
5.0922 8.2291 0.0000
0.0000 0.0000 6.1571
Ac La Dy
7 1 2
Cartesian
0.0000 0.0000 0.0000
3.2047 2.0858 0.0000
5.0922 4.0289 3.0785
3.2047 -2.0858 0.0000
6.9798 2.0858 0.0000
5.0922 -4.0289 3.0785
6.9798 -2.0858 0.0000
5.0922 0.0000 3.0785
5.0922 4.9336 0.0000
5.0922 -4.9336 0.0000
```

Calculated values
Uncorrected energy, eV per atom: -3.68
Space-group type: Cmmm (65)
Formation energy, kJ/mol of formula units: 584
V, Å³/cell: 516.0


# 10
A plane-wave DFT calculation with PBE was carried out for a relaxed structure of AcLa8Dy5.

The structure in POSCAR format:
```
AcLa8Dy5
1.0
8.7552 0.0000 0.0000
-4.0528 7.8126 0.0000
-1.2381 -4.5504 7.4636
Ac La Dy
1 8 5
Cartesian
0.0000 0.0000 0.0000
1.8790 -2.9912 5.2080
1.7063 0.4737 2.8106
0.5574 2.0636 5.7751
0.4083 5.5128 2.9992
4.5399 0.9367 1.1932
3.3687 3.3401 3.9242
5.6458 -1.8957 6.7456
5.0628 4.7155 1.6090
-1.0766 -0.8445 4.3323
-1.3589 2.2773 2.7898
-2.3476 1.4162 6.9722
1.6132 3.4914 0.3507
3.5105 0.2175 5.5417
```

Calculated values
Uncorrected energy, eV per atom: -4.58
Space-group type: P1 (1)
Formation energy, kJ/mol of formula units: 228
V, Å³/cell: 510.5


Question: Among the records above, which one has the lowest uncorrected energy?
Answer: AcLa9Dy2